Model A:
Computed, not measured: a relaxed structure of Tb12Ho6Tm at the PBE-GGA level of DFT.

Properties
- Magnetic moment: 0.0 Bohr magnetons per cell
- D(E_F): 24.2 states/eV per cell

Cell: 9.328 9.328 9.328 Å, 108.34 108.34 108.34°
Element x y z (fractional)
Ho1 0.258 0.679 0.679
Ho2 0.321 0.321 0.742
Ho3 0.321 0.742 0.321
Ho4 0.679 0.679 0.258
Ho5 0.742 0.321 0.321
Ho6 0.679 0.258 0.679
Tb1 0.890 0.110 0.500
Tb2 0.500 0.890 0.110
Tb3 0.639 0.853 0.639
Tb4 0.890 0.500 0.110
Tb5 0.147 0.361 0.361
Tb6 0.110 0.500 0.890
Tb7 0.639 0.639 0.853
Tb8 0.110 0.890 0.500
Tb9 0.853 0.639 0.639
Tb10 0.361 0.147 0.361
Tb11 0.361 0.361 0.147
Tb12 0.500 0.110 0.890
Tm1 0.000 0.000 0.000

***

Model B:
Computed, not measured: a relaxed structure of Tb12Ho6Tm at the PBE-GGA level of DFT.

Properties
- Magnetic moment: 0.0 Bohr magnetons per cell
- D(E_F): 33.2 states/eV per cell

Cell: 8.489 8.489 8.489 Å, 88.53 88.53 88.53°
Element x y z (fractional)
Tm1 0.000 0.000 0.000
Tb1 0.565 0.224 0.459
Tb2 0.459 0.565 0.224
Tb3 0.642 0.987 0.799
Tb4 0.201 0.358 0.013
Tb5 0.987 0.799 0.642
Tb6 0.435 0.776 0.541
Tb7 0.776 0.541 0.435
Tb8 0.358 0.013 0.201
Tb9 0.541 0.435 0.776
Tb10 0.799 0.642 0.987
Tb11 0.013 0.201 0.358
Tb12 0.224 0.459 0.565
Ho1 0.259 0.094 0.695
Ho2 0.305 0.741 0.906
Ho3 0.695 0.259 0.094
Ho4 0.094 0.695 0.259
Ho5 0.906 0.305 0.741
Ho6 0.741 0.906 0.305

***

Name the least stable of them. model A.

***

Model A:
Computed, not measured: a relaxed structure of Tb6HoTm3 at the PBE-GGA level of DFT.

Properties
- Magnetic moment: 0.0 Bohr magnetons per cell
- D(E_F): 27.7 states/eV per cell

Cell: 6.144 10.903 10.903 Å, 119.86 90.00 90.00°
Element x y z (fractional)
Tb1 0.858 0.467 0.047
Tb2 0.358 0.533 0.953
Tb3 0.536 0.620 0.710
Tb4 0.919 0.046 0.954
Tb5 0.536 0.290 0.380
Tb6 0.036 0.380 0.290
Tb7 0.147 0.719 0.281
Tb8 0.419 0.954 0.046
Tb9 0.647 0.281 0.719
Tb10 0.858 0.953 0.533
Tb11 0.358 0.047 0.467
Tb12 0.036 0.710 0.620
Ho1 0.641 0.795 0.205
Ho2 0.141 0.205 0.795
Tm1 0.958 0.721 0.940
Tm2 0.458 0.279 0.060
Tm3 0.458 0.940 0.721
Tm4 0.958 0.060 0.279
Tm5 0.573 0.611 0.389
Tm6 0.073 0.389 0.611

***

Model B:
Computed, not measured: a relaxed structure of Tb6HoTm3 at the PBE-GGA level of DFT.

Properties
- Magnetic moment: 0.0 Bohr magnetons per cell
- D(E_F): 31.1 states/eV per cell

Cell: 6.320 11.450 11.450 Å, 130.41 90.00 90.00°
Element x y z (fractional)
Tb1 0.320 0.984 0.016
Tb2 0.826 0.543 0.104
Tb3 0.569 0.259 0.379
Tb4 0.569 0.621 0.741
Tb5 0.787 0.300 0.700
Tb6 0.326 0.104 0.543
Tb7 0.069 0.379 0.259
Tb8 0.326 0.457 0.896
Tb9 0.287 0.700 0.300
Tb10 0.069 0.741 0.621
Tb11 0.826 0.896 0.457
Tb12 0.820 0.016 0.984
Tm1 0.593 0.581 0.419
Tm2 0.093 0.419 0.581
Tm3 0.990 0.706 0.957
Tm4 0.490 0.294 0.043
Tm5 0.990 0.043 0.294
Tm6 0.490 0.957 0.706
Ho1 0.016 0.160 0.840
Ho2 0.516 0.840 0.160

***

Name the least stable of them. model A.

***

Model A:
Computed, not measured: a relaxed structure of Tb3Ho5Tm at the PBE-GGA level of DFT.

Properties
- Magnetic moment: 0.0 Bohr magnetons per cell
- D(E_F): 25.5 states/eV per cell

Cell: 6.279 9.490 11.347 Å, 110.28 90.00 109.32°
Element x y z (fractional)
Tb1 0.000 0.000 0.000
Tb2 0.349 0.341 0.376
Tb3 0.992 0.341 0.876
Tb4 0.008 0.659 0.124
Tb5 0.000 0.000 0.500
Tb6 0.651 0.659 0.624
Ho1 0.604 0.000 0.750
Ho2 0.471 0.317 0.013
Ho3 0.541 0.661 0.286
Ho4 0.396 0.000 0.250
Ho5 0.880 0.339 0.214
Ho6 0.154 0.683 0.487
Ho7 0.846 0.317 0.513
Ho8 0.459 0.339 0.714
Ho9 0.529 0.683 0.987
Ho10 0.120 0.661 0.786
Tm1 0.124 0.000 0.750
Tm2 0.876 0.000 0.250

***

Model B:
Computed, not measured: a relaxed structure of Tb3Ho5Tm at the PBE-GGA level of DFT.

Properties
- Magnetic moment: 0.0 Bohr magnetons per cell
- D(E_F): 24.3 states/eV per cell

Cell: 9.416 9.416 11.481 Å, 52.78 52.78 73.83°
Element x y z (fractional)
Tb1 0.341 0.341 0.638
Tb2 0.696 0.696 0.814
Tb3 0.000 0.000 0.500
Tb4 0.659 0.659 0.362
Tb5 0.000 0.000 0.000
Tb6 0.304 0.304 0.186
Ho1 0.846 0.343 0.252
Ho2 0.258 0.742 0.000
Ho3 0.510 0.510 0.769
Ho4 0.343 0.846 0.252
Ho5 0.657 0.154 0.748
Ho6 0.185 0.185 0.037
Ho7 0.742 0.258 0.000
Ho8 0.490 0.490 0.231
Ho9 0.154 0.657 0.748
Ho10 0.815 0.815 0.963
Tm1 0.852 0.852 0.398
Tm2 0.148 0.148 0.602

***

Name the least stable of them. model B.

***

Model A:
Computed, not measured: a relaxed structure of Tb6Ho2Tm at the PBE-GGA level of DFT.

Properties
- Magnetic moment: 0.0 Bohr magnetons per cell
- D(E_F): 22.8 states/eV per cell

Cell: 6.539 9.519 9.519 Å, 96.26 80.40 80.40°
Element x y z (fractional)
Ho1 0.867 0.381 0.334
Ho2 0.133 0.619 0.666
Ho3 0.367 0.334 0.381
Ho4 0.633 0.666 0.619
Tb1 0.496 0.352 0.721
Tb2 0.225 0.461 0.060
Tb3 0.775 0.539 0.940
Tb4 0.725 0.060 0.461
Tb5 0.275 0.940 0.539
Tb6 0.504 0.648 0.279
Tb7 0.816 0.956 0.778
Tb8 0.184 0.044 0.222
Tb9 0.996 0.721 0.352
Tb10 0.316 0.778 0.956
Tb11 0.684 0.222 0.044
Tb12 0.004 0.279 0.648
Tm1 0.750 0.880 0.120
Tm2 0.250 0.120 0.880

***

Model B:
Computed, not measured: a relaxed structure of Tb6Ho2Tm at the PBE-GGA level of DFT.

Properties
- Magnetic moment: 0.0 Bohr magnetons per cell
- D(E_F): 12.2 states/eV per cell

Cell: 3.540 8.658 12.744 Å, 132.78 82.01 90.06°
Element x y z (fractional)
Tb1 0.889 0.554 0.221
Tb2 0.778 0.111 0.444
Tb3 0.334 0.332 0.332
Tb4 0.222 0.889 0.556
Tb5 0.666 0.668 0.668
Tb6 0.111 0.446 0.779
Ho1 0.445 0.778 0.110
Ho2 0.555 0.222 0.890
Tm1 0.000 0.000 0.000

***

Name the least stable of them. model A.

***

Model A:
Computed, not measured: a relaxed structure of Tb2HoTm2 at the PBE-GGA level of DFT.

Properties
- Magnetic moment: 0.0 Bohr magnetons per cell
- D(E_F): 7.3 states/eV per cell

Cell: 9.175 9.175 3.698 Å, 90.00 90.00 90.00°
Element x y z (fractional)
Ho1 0.000 0.000 0.000
Ho2 0.500 0.500 0.000
Tb1 0.128 0.628 0.000
Tb2 0.372 0.128 0.000
Tb3 0.872 0.372 0.000
Tb4 0.628 0.872 0.000
Tm1 0.170 0.330 0.500
Tm2 0.330 0.830 0.500
Tm3 0.670 0.170 0.500
Tm4 0.830 0.670 0.500

***

Model B:
Computed, not measured: a relaxed structure of Tb2HoTm2 at the PBE-GGA level of DFT.

Properties
- Magnetic moment: 0.0 Bohr magnetons per cell
- D(E_F): 13.9 states/eV per cell

Cell: 4.975 6.084 11.125 Å, 89.96 90.00 114.13°
Element x y z (fractional)
Tb1 0.450 0.900 0.149
Tb2 0.350 0.700 0.450
Tb3 0.550 0.100 0.851
Tb4 0.650 0.300 0.550
Tm1 0.150 0.300 0.050
Tm2 0.050 0.100 0.350
Tm3 0.850 0.700 0.950
Tm4 0.950 0.900 0.650
Ho1 0.750 0.499 0.249
Ho2 0.250 0.501 0.751

***

Name the least stable of them. model A.

***

Model A:
Computed, not measured: a relaxed structure of Tb6HoTm4 at the PBE-GGA level of DFT.

Properties
- Magnetic moment: 0.0 Bohr magnetons per cell
- D(E_F): 14.4 states/eV per cell

Cell: 6.507 6.507 9.645 Å, 109.71 109.71 90.00°
Element x y z (fractional)
Tb1 0.500 0.000 0.000
Tb2 0.138 0.138 0.651
Tb3 0.862 0.487 0.349
Tb4 0.513 0.513 0.651
Tb5 0.000 0.500 0.000
Tb6 0.487 0.862 0.349
Ho1 0.500 0.500 0.000
Tm1 0.690 0.049 0.739
Tm2 0.049 0.690 0.739
Tm3 0.951 0.951 0.261
Tm4 0.310 0.310 0.261

***

Model B:
Computed, not measured: a relaxed structure of Tb6HoTm4 at the PBE-GGA level of DFT.

Properties
- Magnetic moment: 0.0 Bohr magnetons per cell
- D(E_F): 37.4 states/eV per cell

Cell: 5.649 5.557 25.447 Å, 90.00 90.00 120.55°
Element x y z (fractional)
Tm1 0.474 0.948 0.378
Tm2 0.157 0.315 0.043
Tm3 0.843 0.685 0.957
Tm4 0.474 0.948 0.122
Tm5 0.526 0.052 0.622
Tm6 0.157 0.315 0.457
Tm7 0.843 0.685 0.543
Tm8 0.526 0.052 0.878
Ho1 0.189 0.378 0.750
Ho2 0.811 0.622 0.250
Tb1 0.143 0.286 0.182
Tb2 0.524 0.047 0.750
Tb3 0.812 0.623 0.397
Tb4 0.812 0.623 0.103
Tb5 0.500 0.000 0.000
Tb6 0.476 0.953 0.250
Tb7 0.500 0.000 0.500
Tb8 0.857 0.714 0.818
Tb9 0.188 0.377 0.603
Tb10 0.143 0.286 0.318
Tb11 0.857 0.714 0.682
Tb12 0.188 0.377 0.897

***

Name the least stable of them. model A.

***

Model A:
Computed, not measured: a relaxed structure of Tb7Ho2Tm3 at the PBE-GGA level of DFT.

Properties
- Magnetic moment: 0.0 Bohr magnetons per cell
- D(E_F): 15.1 states/eV per cell

Cell: 3.554 5.732 18.550 Å, 93.79 90.00 90.00°
Element x y z (fractional)
Tm1 0.000 0.219 0.368
Tm2 0.000 0.781 0.632
Tm3 0.500 0.500 0.000
Tb1 0.000 0.000 0.000
Tb2 0.500 0.819 0.819
Tb3 0.000 0.678 0.144
Tb4 0.500 0.258 0.536
Tb5 0.500 0.742 0.464
Tb6 0.500 0.181 0.181
Tb7 0.000 0.322 0.856
Ho1 0.500 0.706 0.296
Ho2 0.500 0.294 0.704

***

Model B:
Computed, not measured: a relaxed structure of Tb7Ho2Tm3 at the PBE-GGA level of DFT.

Properties
- Magnetic moment: 0.0 Bohr magnetons per cell
- D(E_F): 19.1 states/eV per cell

Cell: 5.432 6.164 11.975 Å, 90.72 90.00 90.00°
Element x y z (fractional)
Tb1 0.500 0.239 0.455
Tb2 0.500 0.089 0.170
Tb3 0.500 0.761 0.545
Tb4 0.000 0.561 0.819
Tb5 0.000 0.439 0.181
Tb6 0.000 0.000 0.000
Tb7 0.500 0.911 0.830
Tm1 0.000 0.058 0.658
Tm2 0.000 0.942 0.342
Tm3 0.500 0.500 0.000
Ho1 0.500 0.607 0.277
Ho2 0.500 0.393 0.723

***

Name the least stable of them. model B.

***

Model A:
Computed, not measured: a relaxed structure of Tb4HoTm2 at the PBE-GGA level of DFT.

Properties
- Magnetic moment: 0.0 Bohr magnetons per cell
- D(E_F): 22.6 states/eV per cell

Cell: 6.124 6.479 11.426 Å, 90.00 105.37 90.00°
Element x y z (fractional)
Tb1 0.854 0.250 0.554
Tb2 0.969 0.250 0.139
Tb3 0.348 0.005 0.713
Tb4 0.652 0.995 0.287
Tb5 0.652 0.505 0.287
Tb6 0.031 0.750 0.861
Tb7 0.146 0.750 0.446
Tb8 0.348 0.495 0.713
Tm1 0.710 0.750 0.574
Tm2 0.608 0.750 0.997
Tm3 0.392 0.250 0.003
Tm4 0.290 0.250 0.426
Ho1 0.159 0.750 0.162
Ho2 0.841 0.250 0.838

***

Model B:
Computed, not measured: a relaxed structure of Tb4HoTm2 at the PBE-GGA level of DFT.

Properties
- Magnetic moment: 0.0 Bohr magnetons per cell
- D(E_F): 11.3 states/eV per cell

Cell: 3.502 9.345 8.498 Å, 121.61 78.12 111.99°
Element x y z (fractional)
Ho1 0.000 0.000 0.000
Tm1 0.359 0.430 0.141
Tm2 0.641 0.570 0.859
Tb1 0.808 0.168 0.722
Tb2 0.591 0.294 0.408
Tb3 0.409 0.706 0.592
Tb4 0.192 0.832 0.278

***

Name the least stable of them. model A.